# 1
# HoEr3Ag3

HoEr3Ag3 after structural relaxation (PBE, Alexandria).

Cell lengths 7.180, 7.180, 7.025 Å; angles 90.00, 90.00, 90.31 degrees
Positions (direct):
Ho 0.244 0.244 0.000
Ho 0.756 0.756 0.000
Er 0.246 0.246 0.500
Er 0.247 0.753 0.500
Er 0.249 0.751 0.000
Er 0.751 0.249 0.000
Er 0.753 0.247 0.500
Er 0.754 0.754 0.500
Ag 0.000 0.500 0.251
Ag 0.000 0.500 0.749
Ag 0.500 0.000 0.251
Ag 0.500 0.000 0.749
Ag 0.500 0.500 0.251
Ag 0.500 0.500 0.749

Calculated values
**Crystal system**: orthorhombic
**Symmetry**: Cmmm
**ΔH_f (0 K)**: -0.162 eV per atom
**Total magnetic moment**: 0.000 Bohr magnetons per cell



# 2
# Pa2Be4NiIr3

Pa2Be4NiIr3 after structural relaxation (PBE, Alexandria).

Cell lengths 3.870, 3.870, 9.684 Å; angles 90.00, 90.00, 90.00 degrees
Positions (direct):
Pa 0.000 0.500 0.242
Pa 0.500 0.000 0.758
Be 0.000 0.000 0.500
Be 0.000 0.500 0.882
Be 0.500 0.000 0.118
Be 0.500 0.500 0.500
Ni 0.500 0.500 0.000
Ir 0.000 0.000 0.000
Ir 0.000 0.500 0.639
Ir 0.500 0.000 0.361

Calculated values
**Crystal system**: tetragonal
**Symmetry**: P-4m2
**ΔH_f (0 K)**: -0.573 eV per atom
**Total magnetic moment**: 0.134 Bohr magnetons per cell



# 3
# LiHfZrIr

LiHfZrIr after structural relaxation (PBE, Alexandria).

Cell lengths 4.651, 4.651, 4.651 Å; angles 60.00, 60.00, 60.00 degrees
Positions (direct):
Li 0.000 0.000 0.000
Hf 0.250 0.250 0.250
Zr 0.750 0.750 0.750
Ir 0.500 0.500 0.500

Calculated values
**Crystal system**: cubic
**Symmetry**: F-43m
**ΔH_f (0 K)**: -0.499 eV per atom
**Total magnetic moment**: 0.000 Bohr magnetons per cell



# 4
# SnRh2

SnRh2 after structural relaxation (PBE, Alexandria).

Cell lengths 5.589, 4.284, 8.106 Å; angles 90.00, 90.00, 90.00 degrees
Positions (direct):
Sn 0.192 0.250 0.101
Sn 0.308 0.750 0.601
Sn 0.692 0.250 0.399
Sn 0.808 0.750 0.899
Rh 0.043 0.250 0.776
Rh 0.171 0.250 0.431
Rh 0.329 0.750 0.931
Rh 0.457 0.750 0.276
Rh 0.543 0.250 0.724
Rh 0.671 0.250 0.069
Rh 0.829 0.750 0.569
Rh 0.957 0.750 0.224

Calculated values
**Crystal system**: orthorhombic
**Symmetry**: Pnma
**ΔH_f (0 K)**: -0.373 eV per atom
**Total magnetic moment**: 0.001 Bohr magnetons per cell



# 5
# SiAgSe2

SiAgSe2 after structural relaxation (PBE, Alexandria).

Cell lengths 2.797, 3.775, 7.724 Å; angles 90.00, 97.11, 90.00 degrees
Positions (direct):
Si 0.000 0.000 0.000
Ag 0.000 0.000 0.500
Se 0.084 0.500 0.236
Se 0.916 0.500 0.764

Calculated values
**Crystal system**: monoclinic
**Formation energy without anion corrections**: 0.0693 eV per atom
**Symmetry**: P2/m
**Total magnetic moment**: 0.000 Bohr magnetons per cell



# 6
# NaP2SI

NaP2SI after structural relaxation (PBE, Alexandria).

Cell lengths 5.299, 5.299, 5.248 Å; angles 90.00, 90.00, 90.00 degrees
Positions (direct):
Na 0.000 0.000 0.000
P 0.000 0.500 0.500
P 0.500 0.000 0.500
S 0.500 0.500 0.000
I 0.500 0.500 0.500

Calculated values
**Crystal system**: tetragonal
**ΔE to the lowest computed polymorph**: 0.000 eV per atom
**Formation energy without anion corrections**: 0.9157 eV per atom
**Symmetry**: P4/mmm
**Total magnetic moment**: 2.035 Bohr magnetons per cell



# 7
# CaLu3

CaLu3 after structural relaxation (PBE, Alexandria).

Cell lengths 5.642, 5.642, 5.642 Å; angles 60.00, 60.00, 60.00 degrees
Positions (direct):
Ca 0.000 0.000 0.000
Lu 0.250 0.250 0.250
Lu 0.500 0.500 0.500
Lu 0.750 0.750 0.750

Calculated values
**Crystal system**: cubic
**Symmetry**: Fm-3m
**ΔH_f (0 K)**: 0.203 eV per atom
**Total magnetic moment**: 0.027 Bohr magnetons per cell



# 8
# DyHoNi

DyHoNi after structural relaxation (PBE, Alexandria).

Cell lengths 6.379, 6.379, 7.948 Å; angles 123.92, 123.92, 33.02 degrees
Positions (direct):
Dy 0.166 0.166 0.074
Dy 0.834 0.834 0.926
Ho 0.412 0.412 0.611
Ho 0.588 0.588 0.389
Ni 0.124 0.124 0.684
Ni 0.876 0.876 0.316

Calculated values
**Crystal system**: monoclinic
**ΔE to the lowest computed polymorph**: 0.000 eV per atom
**Symmetry**: C2/m
**ΔH_f (0 K)**: -0.313 eV per atom
**Total magnetic moment**: 0.000 Bohr magnetons per cell



# 9
# Dy4YHo8

Dy4YHo8 after structural relaxation (PBE, Alexandria).

Cell lengths 9.958, 9.958, 9.958 Å; angles 42.72, 42.72, 42.72 degrees
Positions (direct):
Dy 0.000 0.000 0.000
Dy 0.000 0.500 0.500
Dy 0.500 0.000 0.500
Dy 0.500 0.500 0.000
Y 0.500 0.500 0.500
Ho 0.195 0.751 0.751
Ho 0.216 0.216 0.216
Ho 0.249 0.249 0.805
Ho 0.249 0.805 0.249
Ho 0.751 0.195 0.751
Ho 0.751 0.751 0.195
Ho 0.784 0.784 0.784
Ho 0.805 0.249 0.249

Calculated values
**Crystal system**: trigonal
**Symmetry**: R-3m
**ΔH_f (0 K)**: 0.225 eV per atom
**Total magnetic moment**: 0.000 Bohr magnetons per cell



# 10
# KNa2Tl8

KNa2Tl8 after structural relaxation (PBE, Alexandria).

Cell lengths 9.725, 9.725, 6.025 Å; angles 107.94, 107.94, 124.27 degrees
Positions (direct):
K 0.000 0.000 0.000
Na 0.320 0.680 0.500
Na 0.680 0.320 0.500
Tl 0.096 0.373 0.737
Tl 0.204 0.796 0.000
Tl 0.373 0.096 0.737
Tl 0.497 0.497 0.249
Tl 0.503 0.503 0.751
Tl 0.627 0.904 0.263
Tl 0.796 0.204 0.000
Tl 0.904 0.627 0.263

Calculated values
**Crystal system**: monoclinic
**Symmetry**: C2/m
**ΔH_f (0 K)**: -0.049 eV per atom
**Total magnetic moment**: 0.000 Bohr magnetons per cell



# 11
# Zn2MoCl

Zn2MoCl after structural relaxation (PBE, Alexandria).

Cell lengths 4.743, 4.743, 4.743 Å; angles 60.00, 60.00, 60.00 degrees
Positions (direct):
Zn 0.250 0.250 0.250
Zn 0.750 0.750 0.750
Mo 0.000 0.000 0.000
Cl 0.500 0.500 0.500

Calculated values
**Crystal system**: cubic
**ΔE to the lowest computed polymorph**: 0.806 eV per atom
**Formation energy without anion corrections**: 0.8869 eV per atom
**Symmetry**: Fm-3m
**Total magnetic moment**: 3.072 Bohr magnetons per cell



# 12
# RbPI3

RbPI3 after structural relaxation (PBE, Alexandria).

Cell lengths 7.153, 7.153, 7.153 Å; angles 90.00, 90.00, 90.00 degrees
Positions (direct):
Rb 0.000 0.000 0.000
P 0.500 0.500 0.500
I 0.000 0.000 0.500
I 0.000 0.500 0.000
I 0.500 0.000 0.000

Calculated values
**Crystal system**: cubic
**ΔE to the lowest computed polymorph**: 1.162 eV per atom
**Formation energy without anion corrections**: 0.5582 eV per atom
**Symmetry**: Pm-3m
**Total magnetic moment**: 4.700 Bohr magnetons per cell



# 13
# HfSiRh

HfSiRh after structural relaxation (PBE, Alexandria).

Cell lengths 5.646, 5.646, 5.646 Å; angles 149.23, 149.23, 44.08 degrees
Positions (direct):
Hf 0.000 0.000 0.000
Si 0.680 0.680 0.000
Rh 0.306 0.306 0.000

Calculated values
**Crystal system**: tetragonal
**Formation energy without anion corrections**: -0.7364 eV per atom
**Symmetry**: I4mm
**Total magnetic moment**: 0.000 Bohr magnetons per cell



# 14
# AcTb2P2N6

AcTb2P2N6 after structural relaxation (PBE, Alexandria).

Cell lengths 5.545, 6.057, 6.187 Å; angles 112.00, 101.67, 102.35 degrees
Positions (direct):
Ac 0.000 0.000 0.000
Tb 0.297 0.459 0.685
Tb 0.703 0.541 0.315
P 0.425 0.950 0.660
P 0.575 0.050 0.340
N 0.124 0.788 0.589
N 0.399 0.234 0.347
N 0.476 0.769 0.118
N 0.524 0.231 0.882
N 0.601 0.766 0.653
N 0.876 0.212 0.411

Calculated values
**Crystal system**: triclinic
**Formation energy without anion corrections**: -0.9701 eV per atom
**Symmetry**: P-1
**Total magnetic moment**: 0.000 Bohr magnetons per cell



# 15
# CuB2Ru2

CuB2Ru2 after structural relaxation (PBE, Alexandria).

Cell lengths 5.944, 5.944, 2.884 Å; angles 90.00, 90.00, 90.00 degrees
Positions (direct):
Cu 0.000 0.000 0.000
Cu 0.500 0.500 0.000
B 0.126 0.374 0.000
B 0.374 0.874 0.000
B 0.626 0.126 0.000
B 0.874 0.626 0.000
Ru 0.162 0.662 0.500
Ru 0.338 0.162 0.500
Ru 0.662 0.838 0.500
Ru 0.838 0.338 0.500

Calculated values
**Crystal system**: tetragonal
**ΔE to the lowest computed polymorph**: 0.000 eV per atom
**Symmetry**: P4/mbm
**ΔH_f (0 K)**: -0.120 eV per atom
**Total magnetic moment**: 0.000 Bohr magnetons per cell



# 16
# KBaHgTe

KBaHgTe after structural relaxation (PBE, Alexandria).

Cell lengths 5.965, 5.965, 5.965 Å; angles 60.00, 60.00, 60.00 degrees
Positions (direct):
K 0.000 0.000 0.000
Ba 0.500 0.500 0.500
Hg 0.250 0.250 0.250
Te 0.750 0.750 0.750

Calculated values
**Crystal system**: cubic
**Formation energy without anion corrections**: -0.8096 eV per atom
**Symmetry**: F-43m
**Total magnetic moment**: 0.004 Bohr magnetons per cell



# 17
# SmCdIn3

SmCdIn3 after structural relaxation (PBE, Alexandria).

Cell lengths 4.592, 7.522, 7.731 Å; angles 90.00, 90.00, 90.00 degrees
Positions (direct):
Sm 0.250 0.250 0.194
Sm 0.750 0.750 0.806
Cd 0.250 0.750 0.479
Cd 0.750 0.250 0.521
In 0.250 0.050 0.724
In 0.250 0.450 0.724
In 0.250 0.750 0.090
In 0.750 0.250 0.910
In 0.750 0.550 0.276
In 0.750 0.950 0.276

Calculated values
**Crystal system**: orthorhombic
**Symmetry**: Pmmn
**ΔH_f (0 K)**: -0.189 eV per atom
**Total magnetic moment**: 0.000 Bohr magnetons per cell



# 18
# Y2TiZnO

Y2TiZnO after structural relaxation (PBE, Alexandria).

Cell lengths 4.866, 4.866, 4.024 Å; angles 90.00, 90.00, 90.00 degrees
Positions (direct):
Y 0.000 0.500 0.000
Y 0.500 0.000 0.000
Ti 0.000 0.000 0.500
Zn 0.500 0.500 0.500
O 0.000 0.000 0.000

Calculated values
**Crystal system**: tetragonal
**Formation energy without anion corrections**: -1.2068 eV per atom
**Symmetry**: P4/mmm
**Total magnetic moment**: 1.465 Bohr magnetons per cell



# 19
# CoNiS2N

CoNiS2N after structural relaxation (PBE, Alexandria).

Cell lengths 4.684, 4.684, 3.361 Å; angles 90.00, 90.00, 90.00 degrees
Positions (direct):
Co 0.000 0.000 0.000
Ni 0.500 0.500 0.500
S 0.000 0.500 0.500
S 0.500 0.000 0.500
N 0.500 0.500 0.000

Calculated values
**Crystal system**: tetragonal
**ΔE to the lowest computed polymorph**: 0.210 eV per atom
**Formation energy without anion corrections**: 0.8830 eV per atom
**Symmetry**: P4/mmm
**Total magnetic moment**: 2.949 Bohr magnetons per cell



# 20
# USbPd6

USbPd6 after structural relaxation (PBE, Alexandria).

Cell lengths 4.125, 4.125, 8.107 Å; angles 90.00, 90.00, 90.00 degrees
Positions (direct):
U 0.000 0.000 0.000
Sb 0.000 0.000 0.500
Pd 0.000 0.500 0.247
Pd 0.000 0.500 0.753
Pd 0.500 0.000 0.247
Pd 0.500 0.000 0.753
Pd 0.500 0.500 0.000
Pd 0.500 0.500 0.500

Calculated values
**Crystal system**: tetragonal
**ΔE to the lowest computed polymorph**: 0.000 eV per atom
**Formation energy without anion corrections**: -0.4496 eV per atom
**Symmetry**: P4/mmm
**Total magnetic moment**: 1.777 Bohr magnetons per cell